Here is crystalline RbNp2MnO8 at its relaxed geometry from Alexandria. Energies are from PBE with a Hubbard U.

Values from the calculation:
Magnetization   2.00 μB/cell
Total DFT energy (no corrections)   -8.25 eV/atom
Density of states at the Fermi level   0.504 states/eV per atom

The structure in CIF format:
```
data_RbNp2MnO8
_cell_length_a 5.163
_cell_length_b 5.181
_cell_length_c 7.203
_cell_angle_alpha 87.95
_cell_angle_beta 87.91
_cell_angle_gamma 83.27
_symmetry_space_group_name_H-M 'P -1'
_symmetry_Int_Tables_number 2
loop_
_symmetry_equiv_pos_as_xyz
'x,y,z'
'-x,-y,-z'
loop_
_atom_site_label
_atom_site_fract_x
_atom_site_fract_y
_atom_site_fract_z
_atom_site_occupancy
Rb1 0.000 0.000 0.000 1
Np1 0.493 0.493 0.265 1
Mn1 0.000 0.000 0.500 1
O1 0.217 0.776 0.702 1
O2 0.224 0.784 0.298 1
O3 0.326 0.328 0.484 1
O4 0.346 0.348 0.952 1
```